[1]
An optimized crystal structure of InMoCl2, computed with PBE.

Magnetic moment   0.02 μB/f.u.
DFT total energy   -18.7 eV per formula unit
Formation energy from raw total energies   -348 meV/atom
Offset from the most stable computed form   0 meV per atom

The structure in CIF format:
```
data_InMoCl2
_cell_length_a 3.3377
_cell_length_b 3.3377
_cell_length_c 26.9642
_cell_angle_alpha 90.00
_cell_angle_beta 90.00
_cell_angle_gamma 120.00
_symmetry_space_group_name_H-M 'R 3 m'
_symmetry_Int_Tables_number 160
_symmetry_space_group_name_Hall 'R 3 -2"'
loop_
_atom_site_label
_atom_site_type_symbol
_atom_site_fract_x
_atom_site_fract_y
_atom_site_fract_z
In1 In 0.0000 0.0000 0.0000
Mo1 Mo 0.0000 0.0000 0.2528
Cl1 Cl 0.0000 0.0000 0.5318
Cl2 Cl 0.0000 0.0000 0.7377
```

[2]
An optimized crystal structure of InMoCl3, computed with PBE.

Magnetic moment   3.99 μB/f.u.
DFT total energy   -21.4 eV per formula unit
Formation energy from raw total energies   -450 meV/atom
Offset from the most stable computed form   0 meV per atom

The structure in CIF format:
```
data_InMoCl3
_cell_length_a 5.1556
_cell_length_b 5.1556
_cell_length_c 5.1556
_cell_angle_alpha 90.00
_cell_angle_beta 90.00
_cell_angle_gamma 90.00
_symmetry_space_group_name_H-M 'P m -3 m'
_symmetry_Int_Tables_number 221
_symmetry_space_group_name_Hall '-P 4 2 3'
loop_
_atom_site_label
_atom_site_type_symbol
_atom_site_fract_x
_atom_site_fract_y
_atom_site_fract_z
In1 In 0.0000 0.0000 0.0000
Mo1 Mo 0.5000 0.5000 0.5000
Cl1 Cl 0.0000 0.5000 0.5000
```